1.
A plane-wave DFT calculation with PBE-GGA was carried out for a relaxed structure of AlCuReHg.

Properties
* DFT total energy: -0.331 Ry per atom
* excess energy over the best structure of this formula in the dataset: 0 meV per atom
* calculated density: 12.6 Mg/m³

a = 4.465 Å, b = 4.465 Å, c = 4.465 Å
α = 60.00°, β = 60.00°, γ = 60.00°
Fractional coordinates of all 4 atoms:
Al (0.000, 0.000, 0.000)
Cu (0.250, 0.250, 0.250)
Re (0.750, 0.750, 0.750)
Hg (0.500, 0.500, 0.500)

2.
A plane-wave DFT calculation with PBE-GGA was carried out for a relaxed structure of AlCuReHg.

Properties
* DFT total energy: -0.318 Ry per atom
* excess energy over the best structure of this formula in the dataset: 185 meV per atom
* calculated density: 12.6 Mg/m³

a = 4.466 Å, b = 4.466 Å, c = 4.466 Å
α = 60.00°, β = 60.00°, γ = 60.00°
Fractional coordinates of all 4 atoms:
Al (0.000, 0.000, 0.000)
Cu (0.250, 0.250, 0.250)
Re (0.500, 0.500, 0.500)
Hg (0.750, 0.750, 0.750)

What did the first record say?
A plane-wave DFT calculation with PBE-GGA was carried out for a relaxed structure of AlCuReHg.

Properties
* DFT total energy: -0.331 Ry per atom
* excess energy over the best structure of this formula in the dataset: 0 meV per atom
* calculated density: 12.6 Mg/m³

a = 4.465 Å, b = 4.465 Å, c = 4.465 Å
α = 60.00°, β = 60.00°, γ = 60.00°
Fractional coordinates of all 4 atoms:
Al (0.000, 0.000, 0.000)
Cu (0.250, 0.250, 0.250)
Re (0.750, 0.750, 0.750)
Hg (0.500, 0.500, 0.500)

Copy entry 1 word for word.
A plane-wave DFT calculation with PBE-GGA was carried out for a relaxed structure of AlCuReHg.

Properties
* DFT total energy: -0.331 Ry per atom
* excess energy over the best structure of this formula in the dataset: 0 meV per atom
* calculated density: 12.6 Mg/m³

a = 4.465 Å, b = 4.465 Å, c = 4.465 Å
α = 60.00°, β = 60.00°, γ = 60.00°
Fractional coordinates of all 4 atoms:
Al (0.000, 0.000, 0.000)
Cu (0.250, 0.250, 0.250)
Re (0.750, 0.750, 0.750)
Hg (0.500, 0.500, 0.500)

- Which formula does entry 1 have?
  AlCuReHg